Below is Zn4Ag after structural relaxation, with properties calculated at the GGA-PBEsol level.

Cell and atoms, written as POSCAR:
```
Zn4Ag
1.0
-1.379 1.379 9.500
1.379 -1.379 9.500
1.379 1.379 -9.500
Zn Ag
4 1
Cartesian
0.000 0.000 1.994 Zn
0.000 0.000 5.665 Zn
0.000 0.000 13.335 Zn
0.000 0.000 17.006 Zn
0.000 0.000 9.500 Ag
```

Properties
* ρ: 8.493 g/cm3
* ΔH_f (0 K): -0.01 eV/atom
* Fermi-level density of states: 0.277 states/eV/atom
* relative energy among the computed polymorphs: 9 meV per atom

Below is ZnAg2 after structural relaxation, with properties calculated at the GGA-PBEsol level.

Cell and atoms, written as POSCAR:
```
ZnAg2
1.0
4.377 0.000 0.000
-2.188 3.791 0.000
0.000 0.000 2.840
Zn Ag
1 2
Cartesian
0.000 0.000 0.000 Zn
0.000 2.527 2.051 Ag
2.188 1.264 0.789 Ag
```

Properties
* ρ: 9.909 g/cm3
* ΔH_f (0 K): -0.03 eV/atom
* Fermi-level density of states: 0.254 states/eV/atom
* relative energy among the computed polymorphs: 37 meV per atom

Below is ZnAg3 after structural relaxation, with properties calculated at the GGA-PBEsol level.

Cell and atoms, written as POSCAR:
```
ZnAg3
1.0
-1.626 2.215 4.402
1.626 -2.215 4.402
1.626 2.215 -4.402
Zn Ag
1 3
Cartesian
0.000 0.000 0.000 Zn
1.626 0.000 2.069 Ag
0.000 0.000 4.402 Ag
0.000 2.215 2.333 Ag
```

Properties
* ρ: 10.190 g/cm3
* ΔH_f (0 K): -0.03 eV/atom
* Fermi-level density of states: 0.247 states/eV/atom

Below is ZnAg after structural relaxation, with properties calculated at the GGA-PBEsol level.

Cell and atoms, written as POSCAR:
```
ZnAg
1.0
2.843 0.000 0.000
-1.422 2.462 0.000
0.000 0.000 4.364
Zn Ag
1 1
Cartesian
0.000 0.000 0.000 Zn
1.422 0.821 2.182 Ag
```

Properties
* ρ: 9.419 g/cm3
* ΔH_f (0 K): -0.05 eV/atom
* Fermi-level density of states: 0.290 states/eV/atom

Below is ZnAg2 after structural relaxation, with properties calculated at the GGA-PBEsol level.

Cell and atoms, written as POSCAR:
```
ZnAg2
1.0
7.395 0.000 0.000
-3.697 6.404 0.000
0.000 0.000 2.967
Zn Ag
3 6
Cartesian
0.000 0.000 0.000 Zn
0.000 4.269 1.483 Zn
3.697 2.135 1.483 Zn
-1.370 2.374 0.000 Ag
-2.606 4.513 1.483 Ag
1.092 1.891 1.483 Ag
2.741 0.000 0.000 Ag
2.327 4.030 0.000 Ag
5.211 0.000 1.483 Ag
```

Properties
* ρ: 9.969 g/cm3
* ΔH_f (0 K): -0.07 eV/atom
* Fermi-level density of states: 0.208 states/eV/atom
* relative energy among the computed polymorphs: 0 meV per atom

Below is ZnAg after structural relaxation, with properties calculated at the GGA-PBEsol level.

Cell and atoms, written as POSCAR:
```
ZnAg
1.0
2.789 0.000 0.000
0.000 4.274 0.000
-1.360 0.000 5.086
Zn Ag
2 2
Cartesian
0.005 1.068 0.705 Zn
1.425 3.205 4.381 Zn
0.025 1.068 3.356 Ag
1.404 3.205 1.731 Ag
```

Properties
* ρ: 9.493 g/cm3
* ΔH_f (0 K): -0.06 eV/atom
* Fermi-level density of states: 0.253 states/eV/atom

Below is ZnAg after structural relaxation, with properties calculated at the GGA-PBEsol level.

Cell and atoms, written as POSCAR:
```
ZnAg
1.0
2.847 0.000 0.000
-1.424 2.466 0.000
0.000 0.000 8.752
Zn Ag
2 2
Cartesian
0.000 1.644 3.337 Zn
1.424 0.822 5.415 Zn
0.000 1.644 7.573 Ag
1.424 0.822 1.180 Ag
```

Properties
* ρ: 9.366 g/cm3
* ΔH_f (0 K): -0.03 eV/atom
* Fermi-level density of states: 0.180 states/eV/atom

Below is Zn4Ag after structural relaxation, with properties calculated at the GGA-PBEsol level.

Cell and atoms, written as POSCAR:
```
Zn4Ag
1.0
-1.420 1.915 6.664
1.420 -1.915 6.664
1.420 1.915 -6.664
Zn Ag
4 1
Cartesian
0.000 0.000 1.373 Zn
0.000 0.000 3.973 Zn
0.000 0.000 9.355 Zn
0.000 0.000 11.955 Zn
0.000 0.000 6.664 Ag
```

Properties
* ρ: 8.465 g/cm3
* ΔH_f (0 K): -0.02 eV/atom
* Fermi-level density of states: 0.217 states/eV/atom
* relative energy among the computed polymorphs: 0 meV per atom

Below is Zn4Ag5 after structural relaxation, with properties calculated at the GGA-PBEsol level.

Cell and atoms, written as POSCAR:
```
Zn4Ag5
1.0
-4.526 4.526 1.699
4.526 -4.526 1.699
4.526 4.526 -1.699
Zn Ag
4 5
Cartesian
3.049 0.000 0.000 Zn
6.003 0.000 0.000 Zn
0.000 3.049 0.000 Zn
0.000 6.003 0.000 Zn
0.000 0.000 0.000 Ag
3.014 3.014 0.000 Ag
1.512 -1.512 1.699 Ag
-1.512 1.512 1.699 Ag
1.512 1.512 1.699 Ag
```

Properties
* ρ: 9.551 g/cm3
* ΔH_f (0 K): -0.02 eV/atom
* Fermi-level density of states: 0.270 states/eV/atom
* relative energy among the computed polymorphs: 24 meV per atom

Below is ZnAg after structural relaxation, with properties calculated at the GGA-PBEsol level.

Cell and atoms, written as POSCAR:
```
ZnAg
1.0
4.750 -1.481 0.000
4.750 1.481 0.000
-1.480 0.000 4.288
Zn Ag
2 2
Cartesian
0.770 0.000 1.482 Zn
7.249 0.000 2.806 Zn
3.413 0.000 0.716 Ag
4.607 0.000 3.572 Ag
```

Properties
* ρ: 9.539 g/cm3
* ΔH_f (0 K): -0.07 eV/atom
* Fermi-level density of states: 0.233 states/eV/atom

Below is ZnAg3 after structural relaxation, with properties calculated at the GGA-PBEsol level.

Cell and atoms, written as POSCAR:
```
ZnAg3
1.0
5.001 0.000 0.000
0.000 9.140 0.000
0.000 0.000 5.559
Zn Ag
4 12
Cartesian
0.364 2.285 0.649 Zn
2.137 6.855 3.428 Zn
2.865 2.285 2.130 Zn
4.637 6.855 4.910 Zn
0.301 2.285 3.443 Ag
1.209 4.628 4.835 Ag
1.209 9.082 4.835 Ag
1.292 0.058 2.056 Ag
1.292 4.512 2.056 Ag
2.200 6.855 0.664 Ag
2.801 2.285 4.895 Ag
3.709 4.628 3.503 Ag
3.709 9.082 3.503 Ag
3.793 0.058 0.724 Ag
3.793 4.512 0.724 Ag
4.701 6.855 2.116 Ag
```

Properties
* ρ: 10.169 g/cm3
* ΔH_f (0 K): -0.03 eV/atom
* Fermi-level density of states: 0.285 states/eV/atom

Below is Zn4Ag after structural relaxation, with properties calculated at the GGA-PBEsol level.

Cell and atoms, written as POSCAR:
```
Zn4Ag
1.0
4.485 -1.419 0.000
4.485 1.419 0.000
-3.351 0.000 5.677
Zn Ag
4 1
Cartesian
-0.441 0.000 2.307 Zn
2.048 0.000 1.168 Zn
3.571 0.000 4.509 Zn
6.060 0.000 3.370 Zn
4.485 0.000 0.000 Ag
```

Properties
* ρ: 8.492 g/cm3
* ΔH_f (0 K): -0.01 eV/atom
* Fermi-level density of states: 0.239 states/eV/atom
* relative energy among the computed polymorphs: 7 meV per atom

Below is ZnAg2 after structural relaxation, with properties calculated at the GGA-PBEsol level.

Cell and atoms, written as POSCAR:
```
ZnAg2
1.0
-3.088 3.088 2.500
3.088 -3.088 2.500
3.088 3.088 -2.500
Zn Ag
2 4
Cartesian
0.000 0.000 1.250 Zn
0.000 0.000 3.750 Zn
4.054 0.966 0.000 Ag
0.966 2.121 0.000 Ag
2.121 0.966 2.500 Ag
-0.966 2.121 2.500 Ag
```

Properties
* ρ: 9.792 g/cm3
* ΔH_f (0 K): -0.01 eV/atom
* Fermi-level density of states: 0.200 states/eV/atom
* relative energy among the computed polymorphs: 63 meV per atom

Below is ZnAg4 after structural relaxation, with properties calculated at the GGA-PBEsol level.

Cell and atoms, written as POSCAR:
```
ZnAg4
1.0
4.728 -1.417 0.000
4.728 1.417 0.000
-3.557 0.000 5.965
Zn Ag
1 4
Cartesian
0.000 0.000 0.000 Zn
-0.878 0.000 4.788 Ag
1.669 0.000 3.644 Ag
4.230 0.000 2.320 Ag
6.778 0.000 1.177 Ag
```

Properties
* ρ: 10.324 g/cm3
* ΔH_f (0 K): -0.03 eV/atom
* Fermi-level density of states: 0.274 states/eV/atom
* relative energy among the computed polymorphs: 0 meV per atom

Below is ZnAg3 after structural relaxation, with properties calculated at the GGA-PBEsol level.

Cell and atoms, written as POSCAR:
```
ZnAg3
1.0
2.856 0.000 0.000
0.000 2.856 0.000
0.000 0.000 7.756
Zn Ag
1 3
Cartesian
0.000 0.000 0.000 Zn
0.000 0.000 3.878 Ag
1.428 1.428 1.831 Ag
1.428 1.428 5.925 Ag
```

Properties
* ρ: 10.208 g/cm3
* ΔH_f (0 K): -0.04 eV/atom
* Fermi-level density of states: 0.254 states/eV/atom

Below is ZnAg after structural relaxation, with properties calculated at the GGA-PBEsol level.

Cell and atoms, written as POSCAR:
```
ZnAg
1.0
4.798 -1.487 0.000
4.798 1.487 0.000
-2.286 0.000 6.362
Zn Ag
3 3
Cartesian
0.000 0.000 0.000 Zn
-0.715 0.000 3.457 Zn
3.118 0.000 1.432 Zn
1.980 0.000 4.214 Ag
5.787 0.000 1.996 Ag
4.679 0.000 5.651 Ag
```

Properties
* ρ: 9.511 g/cm3
* ΔH_f (0 K): -0.06 eV/atom
* Fermi-level density of states: 0.215 states/eV/atom

Below is Zn3Ag2 after structural relaxation, with properties calculated at the GGA-PBEsol level.

Cell and atoms, written as POSCAR:
```
Zn3Ag2
1.0
1.414 0.816 10.918
-1.414 0.816 10.918
0.000 -1.632 10.918
Zn Ag
3 2
Cartesian
0.000 0.000 0.000 Zn
0.000 0.000 6.514 Zn
0.000 0.000 26.238 Zn
0.000 0.000 13.117 Ag
0.000 0.000 19.636 Ag
```

Properties
* ρ: 9.053 g/cm3
* ΔH_f (0 K): -0.03 eV/atom
* Fermi-level density of states: 0.241 states/eV/atom
* relative energy among the computed polymorphs: 18 meV per atom

Below is ZnAg4 after structural relaxation, with properties calculated at the GGA-PBEsol level.

Cell and atoms, written as POSCAR:
```
ZnAg4
1.0
-1.420 1.420 9.889
1.420 -1.420 9.889
1.420 1.420 -9.889
Zn Ag
1 4
Cartesian
0.000 0.000 0.000 Zn
0.000 0.000 3.923 Ag
0.000 0.000 8.034 Ag
0.000 0.000 11.743 Ag
0.000 0.000 15.854 Ag
```

Properties
* ρ: 10.348 g/cm3
* ΔH_f (0 K): -0.03 eV/atom
* Fermi-level density of states: 0.239 states/eV/atom
* relative energy among the computed polymorphs: 0 meV per atom

Below is ZnAg2 after structural relaxation, with properties calculated at the GGA-PBEsol level.

Cell and atoms, written as POSCAR:
```
ZnAg2
1.0
-1.989 1.989 11.855
1.989 -1.989 11.855
1.989 1.989 -11.855
Zn Ag
4 8
Cartesian
1.989 0.995 0.987 Zn
1.989 0.995 4.941 Zn
0.000 0.995 6.914 Zn
0.000 0.995 10.868 Zn
1.989 -0.995 6.882 Ag
1.989 0.995 -2.984 Ag
1.989 -0.995 10.900 Ag
0.000 0.995 2.943 Ag
1.989 0.995 8.912 Ag
0.000 2.984 0.955 Ag
0.000 0.995 14.839 Ag
0.000 2.984 4.973 Ag
```

Properties
* ρ: 9.952 g/cm3
* ΔH_f (0 K): -0.04 eV/atom
* Fermi-level density of states: 0.290 states/eV/atom
* relative energy among the computed polymorphs: 27 meV per atom

Below is ZnAg3 after structural relaxation, with properties calculated at the GGA-PBEsol level.

Cell and atoms, written as POSCAR:
```
ZnAg3
1.0
2.883 0.000 0.000
0.000 4.572 0.000
0.000 0.000 4.817
Zn Ag
1 3
Cartesian
0.000 0.000 0.000 Zn
0.000 2.286 3.185 Ag
1.442 0.000 2.406 Ag
1.442 2.286 0.740 Ag
```

Properties
* ρ: 10.173 g/cm3
* ΔH_f (0 K): -0.03 eV/atom
* Fermi-level density of states: 0.251 states/eV/atom

Below is ZnAg8 after structural relaxation, with properties calculated at the GGA-PBEsol level.

Cell and atoms, written as POSCAR:
```
ZnAg8
1.0
-4.283 4.283 1.990
4.283 -4.283 1.990
4.283 4.283 -1.990
Zn Ag
1 8
Cartesian
0.000 0.000 0.000 Zn
2.839 0.000 0.000 Ag
5.726 0.000 0.000 Ag
0.000 2.839 0.000 Ag
2.877 2.877 0.000 Ag
1.405 -1.405 1.990 Ag
-1.405 1.405 1.990 Ag
1.405 1.405 1.990 Ag
0.000 5.726 0.000 Ag
```

Properties
* ρ: 10.561 g/cm3
* ΔH_f (0 K): -0.01 eV/atom
* Fermi-level density of states: 0.294 states/eV/atom

Below is ZnAg3 after structural relaxation, with properties calculated at the GGA-PBEsol level.

Cell and atoms, written as POSCAR:
```
ZnAg3
1.0
4.614 0.000 0.000
0.000 5.597 0.000
0.000 0.000 4.900
Zn Ag
2 6
Cartesian
1.154 1.399 0.835 Zn
3.461 4.198 4.065 Zn
1.154 0.001 3.268 Ag
1.154 2.797 3.268 Ag
1.154 4.198 0.778 Ag
3.461 5.596 1.631 Ag
3.461 1.399 4.121 Ag
3.461 2.800 1.631 Ag
```

Properties
* ρ: 10.209 g/cm3
* ΔH_f (0 K): -0.04 eV/atom
* Fermi-level density of states: 0.267 states/eV/atom

Below is ZnAg after structural relaxation, with properties calculated at the GGA-PBEsol level.

Cell and atoms, written as POSCAR:
```
ZnAg
1.0
-1.917 1.917 4.122
1.917 -1.917 4.122
1.917 1.917 -4.122
Zn Ag
2 2
Cartesian
1.917 0.959 1.030 Zn
0.000 0.959 3.091 Zn
1.917 -0.959 3.091 Ag
0.000 2.876 1.030 Ag
```

Properties
* ρ: 9.498 g/cm3
* ΔH_f (0 K): -0.07 eV/atom
* Fermi-level density of states: 0.214 states/eV/atom

Below is ZnAg4 after structural relaxation, with properties calculated at the GGA-PBEsol level.

Cell and atoms, written as POSCAR:
```
ZnAg4
1.0
-3.151 3.151 2.014
3.151 -3.151 2.014
3.151 3.151 -2.014
Zn Ag
1 4
Cartesian
0.000 0.000 0.000 Zn
2.501 1.271 0.000 Ag
1.880 -0.650 2.014 Ag
1.271 3.801 0.000 Ag
0.650 1.880 2.014 Ag
```

Properties
* ρ: 10.315 g/cm3
* ΔH_f (0 K): -0.03 eV/atom
* Fermi-level density of states: 0.276 states/eV/atom
* relative energy among the computed polymorphs: 2 meV per atom

Below is ZnAg after structural relaxation, with properties calculated at the GGA-PBEsol level.

Cell and atoms, written as POSCAR:
```
ZnAg
1.0
2.926 0.000 0.000
0.000 2.926 0.000
0.000 0.000 3.527
Zn Ag
1 1
Cartesian
0.000 0.000 0.000 Zn
1.463 1.463 1.763 Ag
```

Properties
* ρ: 9.529 g/cm3
* ΔH_f (0 K): -0.06 eV/atom
* Fermi-level density of states: 0.313 states/eV/atom

Below is ZnAg after structural relaxation, with properties calculated at the GGA-PBEsol level.

Cell and atoms, written as POSCAR:
```
ZnAg
1.0
-1.516 2.220 4.482
1.516 -2.220 4.482
1.516 2.220 -4.482
Zn Ag
2 2
Cartesian
0.000 1.110 1.189 Zn
1.516 1.110 3.293 Zn
1.516 1.110 -1.039 Ag
0.000 1.110 5.521 Ag
```

Properties
* ρ: 9.537 g/cm3
* ΔH_f (0 K): -0.06 eV/atom
* Fermi-level density of states: 0.208 states/eV/atom

Below is Zn8Ag after structural relaxation, with properties calculated at the GGA-PBEsol level.

Cell and atoms, written as POSCAR:
```
Zn8Ag
1.0
-4.094 4.094 1.920
4.094 -4.094 1.920
4.094 4.094 -1.920
Zn Ag
8 1
Cartesian
2.756 0.000 0.000 Zn
5.433 0.000 0.000 Zn
2.703 2.703 0.000 Zn
1.392 -1.392 1.920 Zn
0.000 2.756 0.000 Zn
0.000 5.433 0.000 Zn
-1.392 1.392 1.920 Zn
1.392 1.392 1.920 Zn
0.000 0.000 0.000 Ag
```

Properties
* ρ: 8.139 g/cm3
* ΔH_f (0 K): 0.01 eV/atom
* Fermi-level density of states: 0.352 states/eV/atom